(1)
# IrSe2F2 | the Alexandria database | PBE-GGA | relaxed
data_IrSe2F2
_symmetry_space_group_name_H-M 'P 4/m b m'
_symmetry_Int_Tables_number 127
_symmetry_space_group_name_Hall '-P 4 2ab'
_cell_length_a 6.3675
_cell_length_b 6.3675
_cell_length_c 4.3115
_cell_angle_alpha 90.00
_cell_angle_beta 90.00
_cell_angle_gamma 90.00
loop_
_atom_site_label
_atom_site_fract_x
_atom_site_fract_y
_atom_site_fract_z
Ir1 0.0000 0.0000 0.0000
Se1 0.1549 0.3451 0.0000
F1 0.1492 0.3508 0.5000
# Total moment   0.00 μB/cell
# Formation energy without anion corrections   -469 meV/atom

=====

(2)
# ZnIrSe2F | the Alexandria database | PBE-GGA | relaxed
data_ZnIrSe2F
_symmetry_space_group_name_H-M 'P 4/m m m'
_symmetry_Int_Tables_number 123
_symmetry_space_group_name_Hall '-P 4 2'
_cell_length_a 4.9230
_cell_length_b 4.9230
_cell_length_c 3.6528
_cell_angle_alpha 90.00
_cell_angle_beta 90.00
_cell_angle_gamma 90.00
loop_
_atom_site_label
_atom_site_fract_x
_atom_site_fract_y
_atom_site_fract_z
Zn1 0.0000 0.0000 0.0000
Ir1 0.5000 0.5000 0.5000
Se1 0.0000 0.5000 0.0000
F1 0.0000 0.0000 0.5000
# Total moment   0.02 μB/cell
# Formation energy without anion corrections   104 meV/atom

=====

(3)
# ZrIrSe2F | the Alexandria database | PBE-GGA | relaxed
data_ZrIrSe2F
_symmetry_space_group_name_H-M 'P 4/m m m'
_symmetry_Int_Tables_number 123
_symmetry_space_group_name_Hall '-P 4 2'
_cell_length_a 5.1483
_cell_length_b 5.1483
_cell_length_c 5.2008
_cell_angle_alpha 90.00
_cell_angle_beta 90.00
_cell_angle_gamma 90.00
loop_
_atom_site_label
_atom_site_fract_x
_atom_site_fract_y
_atom_site_fract_z
Zr1 0.0000 0.0000 0.0000
Ir1 0.0000 0.0000 0.5000
Se1 0.0000 0.5000 0.0000
F1 0.5000 0.5000 0.5000
# Total moment   3.09 μB/cell
# Formation energy without anion corrections   402 meV/atom

=====

(4)
# SiIrF2 | the Alexandria database | PBE-GGA | relaxed
data_SiIrF2
_symmetry_space_group_name_H-M 'I -4 2 d'
_symmetry_Int_Tables_number 122
_symmetry_space_group_name_Hall 'I -4 2bw'
_cell_length_a 3.5204
_cell_length_b 3.5204
_cell_length_c 15.7871
_cell_angle_alpha 90.00
_cell_angle_beta 90.00
_cell_angle_gamma 90.00
loop_
_atom_site_label
_atom_site_fract_x
_atom_site_fract_y
_atom_site_fract_z
Si1 0.0000 0.0000 0.0000
Ir1 0.0000 0.0000 0.5000
F1 0.2500 0.2500 0.1250
# Total moment   0.00 μB/cell
# Formation energy without anion corrections   -590 meV/atom

=====

(5)
# Si2IrF | the Alexandria database | PBE-GGA | relaxed
data_Si2IrF
_symmetry_space_group_name_H-M 'I -4 2 d'
_symmetry_Int_Tables_number 122
_symmetry_space_group_name_Hall 'I -4 2bw'
_cell_length_a 5.3469
_cell_length_b 5.3469
_cell_length_c 10.5435
_cell_angle_alpha 90.00
_cell_angle_beta 90.00
_cell_angle_gamma 90.00
loop_
_atom_site_label
_atom_site_fract_x
_atom_site_fract_y
_atom_site_fract_z
Si1 0.2380 0.2500 0.1250
Ir1 0.0000 0.0000 0.0000
F1 0.0000 0.0000 0.5000
# Total moment   0.00 μB/cell
# Formation energy without anion corrections   -385 meV/atom

=====

(6)
# SiIrF2 | the Alexandria database | PBE-GGA | relaxed
data_SiIrF2
_symmetry_space_group_name_H-M 'R -3 m'
_symmetry_Int_Tables_number 166
_symmetry_space_group_name_Hall '-R 3 2"'
_cell_length_a 2.6312
_cell_length_b 2.6312
_cell_length_c 31.2160
_cell_angle_alpha 90.00
_cell_angle_beta 90.00
_cell_angle_gamma 120.00
loop_
_atom_site_label
_atom_site_fract_x
_atom_site_fract_y
_atom_site_fract_z
Si1 0.0000 0.0000 0.0000
Ir1 0.0000 0.0000 0.5000
F1 0.0000 0.0000 0.0523
# Total moment   2.07 μB/cell
# Formation energy without anion corrections   -993 meV/atom

=====

(7)
# SiIrF2 | the Alexandria database | PBE-GGA | relaxed
data_SiIrF2
_symmetry_space_group_name_H-M 'R -3 m'
_symmetry_Int_Tables_number 166
_symmetry_space_group_name_Hall '-R 3 2"'
_cell_length_a 2.6999
_cell_length_b 2.6999
_cell_length_c 23.6925
_cell_angle_alpha 90.00
_cell_angle_beta 90.00
_cell_angle_gamma 120.00
loop_
_atom_site_label
_atom_site_fract_x
_atom_site_fract_y
_atom_site_fract_z
Si1 0.0000 0.0000 0.0000
Ir1 0.0000 0.0000 0.5000
F1 0.0000 0.0000 0.4145
# Total moment   0.00 μB/cell
# Formation energy without anion corrections   -697 meV/atom

=====

(8)
# SiIrF3 | the Alexandria database | PBE-GGA | relaxed
data_SiIrF3
_symmetry_space_group_name_H-M 'P m -3 m'
_symmetry_Int_Tables_number 221
_symmetry_space_group_name_Hall '-P 4 2 3'
_cell_length_a 4.2474
_cell_length_b 4.2474
_cell_length_c 4.2474
_cell_angle_alpha 90.00
_cell_angle_beta 90.00
_cell_angle_gamma 90.00
loop_
_atom_site_label
_atom_site_fract_x
_atom_site_fract_y
_atom_site_fract_z
Si1 0.0000 0.0000 0.0000
Ir1 0.5000 0.5000 0.5000
F1 0.0000 0.5000 0.5000
# Total moment   0.00 μB/cell
# Formation energy without anion corrections   -201 meV/atom

=====

(9)
# SiIrF2 | the Alexandria database | PBE-GGA | relaxed
data_SiIrF2
_symmetry_space_group_name_H-M 'F m -3 m'
_symmetry_Int_Tables_number 225
_symmetry_space_group_name_Hall '-F 4 2 3'
_cell_length_a 5.9223
_cell_length_b 5.9223
_cell_length_c 5.9223
_cell_angle_alpha 90.00
_cell_angle_beta 90.00
_cell_angle_gamma 90.00
loop_
_atom_site_label
_atom_site_fract_x
_atom_site_fract_y
_atom_site_fract_z
Si1 0.0000 0.0000 0.0000
Ir1 0.0000 0.0000 0.5000
F1 0.2500 0.2500 0.2500
# Total moment   5.62 μB/cell
# Formation energy without anion corrections   187 meV/atom

=====

(10)
# Si2IrF | the Alexandria database | PBE-GGA | relaxed
data_Si2IrF
_symmetry_space_group_name_H-M 'F m -3 m'
_symmetry_Int_Tables_number 225
_symmetry_space_group_name_Hall '-F 4 2 3'
_cell_length_a 5.9225
_cell_length_b 5.9225
_cell_length_c 5.9225
_cell_angle_alpha 90.00
_cell_angle_beta 90.00
_cell_angle_gamma 90.00
loop_
_atom_site_label
_atom_site_fract_x
_atom_site_fract_y
_atom_site_fract_z
Si1 0.2500 0.2500 0.2500
Ir1 0.0000 0.0000 0.0000
F1 0.0000 0.0000 0.5000
# Total moment   0.00 μB/cell
# Formation energy without anion corrections   -427 meV/atom

=====

(11)
# SiIr3F | the Alexandria database | PBE-GGA | relaxed
data_SiIr3F
_symmetry_space_group_name_H-M 'P m -3 m'
_symmetry_Int_Tables_number 221
_symmetry_space_group_name_Hall '-P 4 2 3'
_cell_length_a 4.4614
_cell_length_b 4.4614
_cell_length_c 4.4614
_cell_angle_alpha 90.00
_cell_angle_beta 90.00
_cell_angle_gamma 90.00
loop_
_atom_site_label
_atom_site_fract_x
_atom_site_fract_y
_atom_site_fract_z
Si1 0.0000 0.0000 0.0000
Ir1 0.0000 0.0000 0.5000
F1 0.5000 0.5000 0.5000
# Total moment   2.86 μB/cell
# Formation energy without anion corrections   1028 meV/atom

=====

(12)
# SiIrF3 | the Alexandria database | PBE-GGA | relaxed
data_SiIrF3
_symmetry_space_group_name_H-M 'P m -3 m'
_symmetry_Int_Tables_number 221
_symmetry_space_group_name_Hall '-P 4 2 3'
_cell_length_a 4.1255
_cell_length_b 4.1255
_cell_length_c 4.1255
_cell_angle_alpha 90.00
_cell_angle_beta 90.00
_cell_angle_gamma 90.00
loop_
_atom_site_label
_atom_site_fract_x
_atom_site_fract_y
_atom_site_fract_z
Si1 0.0000 0.0000 0.0000
Ir1 0.5000 0.5000 0.5000
F1 0.0000 0.0000 0.5000
# Total moment   1.97 μB/cell
# Formation energy without anion corrections   -281 meV/atom

=====

(13)
# Sm2IrF | the Alexandria database | PBE-GGA | relaxed
data_Sm2IrF
_symmetry_space_group_name_H-M 'R -3 m'
_symmetry_Int_Tables_number 166
_symmetry_space_group_name_Hall '-R 3 2"'
_cell_length_a 4.2309
_cell_length_b 4.2309
_cell_length_c 22.3113
_cell_angle_alpha 90.00
_cell_angle_beta 90.00
_cell_angle_gamma 120.00
loop_
_atom_site_label
_atom_site_fract_x
_atom_site_fract_y
_atom_site_fract_z
Sm1 0.0000 0.0000 0.1020
Ir1 0.0000 0.0000 0.5000
F1 0.0000 0.0000 0.0000
# Total moment   0.00 μB/cell
# Formation energy without anion corrections   -1706 meV/atom

=====

(14)
# Sm2IrF | the Alexandria database | PBE-GGA | relaxed
data_Sm2IrF
_symmetry_space_group_name_H-M 'R 3 m'
_symmetry_Int_Tables_number 160
_symmetry_space_group_name_Hall 'R 3 -2"'
_cell_length_a 3.9913
_cell_length_b 3.9913
_cell_length_c 23.8530
_cell_angle_alpha 90.00
_cell_angle_beta 90.00
_cell_angle_gamma 120.00
loop_
_atom_site_label
_atom_site_fract_x
_atom_site_fract_y
_atom_site_fract_z
Sm1 0.0000 0.0000 0.0000
Sm2 0.0000 0.0000 0.1991
Ir1 0.0000 0.0000 0.5944
F1 0.0000 0.0000 0.3795
# Total moment   0.00 μB/cell
# Formation energy without anion corrections   -1520 meV/atom